No. 1
{
  "formula": "Tb8Y2Ho3",
  "functional": "PBE",
  "state": "relaxed",
  "cell": [[5.553, 0.000, 0.754], [0.000, 7.620, 0.000], [-1.368, -3.810, 10.055]],
  "species": ["Tb", "Tb", "Tb", "Tb", "Tb", "Tb", "Tb", "Tb", "Y", "Y", "Ho", "Ho", "Ho"],
  "frac_coords": [[0.000, 0.666, 0.331], [0.000, 0.334, 0.669], [0.000, 0.132, 0.263], [0.000, 0.868, 0.737], [0.500, 0.604, 0.786], [0.500, 0.183, 0.786], [0.500, 0.817, 0.214], [0.500, 0.396, 0.214], [0.499, 0.241, 0.483], [0.501, 0.759, 0.517], [0.500, 0.000, 0.000], [0.000, 0.285, 0.000], [0.000, 0.715, 0.000]],
  "dos_ef_per_ev_cell": 21.42,
  "magnetic_moment_mub_per_fu": 0.00,
  "formation_enthalpy_0k_mev_per_atom": 228
}


No. 2
{
  "formula": "LiPrGdCo",
  "functional": "PBE",
  "state": "relaxed",
  "cell": [[4.994, 0.000, 0.000], [2.497, 4.325, 0.000], [2.497, 1.442, 4.077]],
  "species": ["Pr", "Gd", "Co", "Li"],
  "frac_coords": [[0.000, 0.000, 0.000], [0.500, 0.500, 0.500], [0.250, 0.250, 0.250], [0.750, 0.750, 0.750]],
  "dos_ef_per_ev_cell": 3.62,
  "magnetic_moment_mub_per_fu": 7.15,
  "formation_enthalpy_0k_mev_per_atom": 15
}


No. 3
{
  "formula": "Ce4SmAs6",
  "functional": "PBE",
  "state": "relaxed",
  "cell": [[-2.088, -3.345, -7.247], [7.927, -1.327, -1.863], [-0.527, -7.340, 3.731]],
  "species": ["Ce", "Ce", "Ce", "Ce", "Ce", "Ce", "Ce", "Ce", "Sm", "Sm", "As", "As", "As", "As", "As", "As", "As", "As", "As", "As", "As", "As"],
  "frac_coords": [[0.366, 0.134, 0.250], [0.866, 0.250, 0.366], [0.250, 0.634, 0.134], [0.250, 0.250, 0.750], [0.750, 0.750, 0.250], [0.750, 0.366, 0.866], [0.134, 0.750, 0.634], [0.634, 0.866, 0.750], [0.500, 0.500, 0.500], [0.000, 0.000, 0.000], [0.673, 0.067, 0.085], [0.085, 0.327, 0.067], [0.585, 0.433, 0.173], [0.933, 0.085, 0.673], [0.567, 0.173, 0.585], [0.173, 0.415, 0.433], [0.827, 0.585, 0.567], [0.433, 0.827, 0.415], [0.067, 0.915, 0.327], [0.415, 0.567, 0.827], [0.915, 0.673, 0.933], [0.327, 0.933, 0.915]],
  "dos_ef_per_ev_cell": 29.03,
  "magnetic_moment_mub_per_fu": 1.33,
  "formation_enthalpy_0k_mev_per_atom": -1174
}


No. 4
{
  "formula": "ReBiS2Cl",
  "functional": "PBE",
  "state": "relaxed",
  "cell": [[-5.210, 0.351, 0.897], [0.725, -1.825, 4.921], [0.630, 4.919, 1.731]],
  "species": ["Re", "S", "S", "Bi", "Cl"],
  "frac_coords": [[0.500, 0.500, 0.500], [0.000, 0.500, 0.000], [0.500, 0.000, 0.000], [0.000, 0.000, 0.000], [0.000, 0.000, 0.500]],
  "polymorph_energy_kj_per_mol_fu": 473.7,
  "dos_ef_per_ev_cell": 3.45,
  "magnetic_moment_mub_per_fu": 5.32,
  "e_form_raw_ev_per_fu": 6.2
}


No. 5
{
  "formula": "TlHg3H",
  "functional": "PBE",
  "state": "relaxed",
  "cell": [[-1.832, 4.018, 2.039], [-0.893, -2.481, 4.088], [4.417, 1.165, 1.672]],
  "species": ["H", "Tl", "Hg", "Hg", "Hg"],
  "frac_coords": [[0.000, 0.000, 0.000], [0.500, 0.500, 0.500], [0.000, 0.500, 0.000], [0.000, 0.000, 0.500], [0.500, 0.000, 0.000]],
  "polymorph_energy_kj_per_mol_fu": 106.5,
  "dos_ef_per_ev_cell": 2.23,
  "magnetic_moment_mub_per_fu": 0.00
}


No. 6
{
  "formula": "NiOsC",
  "functional": "PBE",
  "state": "relaxed",
  "cell": [[6.567, 0.000, 0.001], [0.000, 2.731, 0.000], [-5.136, 0.000, 7.108]],
  "species": ["Ni", "Ni", "Ni", "Ni", "C", "C", "C", "C", "Os", "Os", "Os", "Os"],
  "frac_coords": [[0.823, 0.000, 0.239], [0.177, 0.000, 0.761], [0.823, 0.500, 0.739], [0.177, 0.500, 0.261], [0.866, 0.000, 0.941], [0.134, 0.000, 0.059], [0.866, 0.500, 0.441], [0.134, 0.500, 0.559], [0.615, 0.000, 0.413], [0.385, 0.000, 0.587], [0.615, 0.500, 0.913], [0.385, 0.500, 0.087]],
  "polymorph_energy_kj_per_mol_fu": 28.5,
  "dos_ef_per_ev_cell": 5.92,
  "magnetic_moment_mub_per_fu": 0.00,
  "formation_enthalpy_0k_mev_per_atom": 441
}


No. 7
{
  "formula": "CePmBi2",
  "functional": "PBE",
  "state": "relaxed",
  "cell": [[-0.868, -4.307, -1.164], [1.018, -3.378, 2.866], [-7.054, -1.993, 3.761]],
  "species": ["Ce", "Pm", "Bi", "Bi"],
  "frac_coords": [[0.669, 0.669, 0.993], [0.498, 0.498, 0.507], [0.082, 0.082, 0.754], [0.251, 0.251, 0.246]],
  "polymorph_energy_kj_per_mol_fu": 42.4,
  "dos_ef_per_ev_cell": 6.61,
  "magnetic_moment_mub_per_fu": 0.91,
  "formation_enthalpy_0k_mev_per_atom": -760
}


No. 8
{
  "formula": "LiRe2Br",
  "functional": "PBE",
  "state": "relaxed",
  "cell": [[-3.008, 0.044, -0.886], [-0.264, -3.034, 0.747], [-1.776, 1.658, 6.109]],
  "species": ["Br", "Li", "Re", "Re"],
  "frac_coords": [[0.500, 0.500, 0.250], [0.500, 0.500, 0.750], [0.000, 0.000, 0.925], [0.000, 0.000, 0.575]],
  "polymorph_energy_kj_per_mol_fu": 329.8,
  "dos_ef_per_ev_cell": 2.28,
  "magnetic_moment_mub_per_fu": 0.00,
  "e_form_raw_ev_per_fu": 4.0
}


No. 9
{
  "formula": "MoP2Os",
  "functional": "PBE",
  "state": "relaxed",
  "cell": [[-0.806, -0.237, -2.819], [-3.769, -3.135, 1.341], [-4.770, 0.822, 1.295]],
  "species": ["Mo", "Os", "P", "P"],
  "frac_coords": [[0.500, 0.500, 0.500], [0.000, 0.000, 0.500], [0.000, 0.000, 0.000], [0.500, 0.500, 0.000]],
  "polymorph_energy_kj_per_mol_fu": 69.1,
  "dos_ef_per_ev_cell": 3.41,
  "magnetic_moment_mub_per_fu": 0.00,
  "formation_enthalpy_0k_mev_per_atom": -66
}


No. 10
{
  "formula": "Al12CrFe6",
  "functional": "PBE",
  "state": "relaxed",
  "cell": [[6.579, 0.000, -2.326], [-3.290, 5.698, -2.326], [0.000, 0.000, 6.978]],
  "species": ["Al", "Al", "Al", "Al", "Al", "Al", "Al", "Al", "Al", "Al", "Al", "Al", "Cr", "Fe", "Fe", "Fe", "Fe", "Fe", "Fe"],
  "frac_coords": [[0.274, 0.099, 0.824], [0.274, 0.450, 0.176], [0.726, 0.550, 0.824], [0.726, 0.901, 0.176], [0.099, 0.824, 0.274], [0.450, 0.176, 0.274], [0.550, 0.824, 0.726], [0.901, 0.176, 0.726], [0.824, 0.274, 0.099], [0.176, 0.274, 0.450], [0.824, 0.726, 0.550], [0.176, 0.726, 0.901], [0.000, 0.000, 0.000], [0.359, 0.500, 0.859], [0.641, 0.500, 0.141], [0.500, 0.859, 0.359], [0.500, 0.141, 0.641], [0.859, 0.359, 0.500], [0.141, 0.641, 0.500]],
  "dos_ef_per_ev_cell": 12.58,
  "magnetic_moment_mub_per_fu": 5.27,
  "formation_enthalpy_0k_mev_per_atom": -193
}


No. 11
{
  "formula": "Ce2DyHfN4",
  "functional": "PBE",
  "state": "relaxed",
  "cell": [[-1.875, -2.394, 1.548], [4.704, -1.571, 3.268], [-3.070, 4.291, 2.917]],
  "species": ["Ce", "Ce", "Dy", "Hf", "N", "N", "N", "N"],
  "frac_coords": [[0.500, 0.000, 0.500], [0.000, 0.500, 0.500], [0.500, 0.500, 0.000], [0.000, 0.000, 0.000], [0.500, 0.227, 0.224], [0.500, 0.773, 0.776], [0.000, 0.238, 0.768], [0.000, 0.762, 0.232]],
  "dos_ef_per_ev_cell": 5.34,
  "magnetic_moment_mub_per_fu": 0.00,
  "e_form_raw_ev_per_fu": -13.1
}


No. 12
{
  "formula": "PbI2",
  "functional": "PBE",
  "state": "relaxed",
  "cell": [[-4.990, -5.997, -1.712], [-2.318, -5.340, -5.468], [-0.676, -7.744, -1.834]],
  "species": ["Pb", "I", "I"],
  "frac_coords": [[0.000, 0.000, 0.000], [0.749, 0.749, 0.749], [0.251, 0.251, 0.251]],
  "dos_ef_per_ev_cell": 0.00,
  "magnetic_moment_mub_per_fu": 0.00,
  "e_form_raw_ev_per_fu": -1.9
}


No. 13
{
  "formula": "TmAlTc",
  "functional": "PBE",
  "state": "relaxed",
  "cell": [[-3.151, 1.151, 0.589], [-0.617, 0.026, -3.350], [0.267, -5.149, 1.642]],
  "species": ["Tm", "Tc", "Al"],
  "frac_coords": [[0.007, 0.007, 0.014], [0.692, 0.692, 0.384], [0.301, 0.301, 0.602]],
  "polymorph_energy_kj_per_mol_fu": 53.2,
  "dos_ef_per_ev_cell": 3.14,
  "magnetic_moment_mub_per_fu": 0.00,
  "formation_enthalpy_0k_mev_per_atom": -284
}


No. 14
{
  "formula": "ScAsPb2",
  "functional": "PBE",
  "state": "relaxed",
  "cell": [[-0.998, 0.643, -3.228], [0.066, -3.404, 0.483], [-8.743, 0.220, 2.746]],
  "species": ["As", "Pb", "Pb", "Sc"],
  "frac_coords": [[0.500, 0.500, 0.750], [0.000, 0.000, 0.993], [0.000, 0.000, 0.507], [0.500, 0.500, 0.250]],
  "dos_ef_per_ev_cell": 3.04,
  "magnetic_moment_mub_per_fu": 0.00,
  "formation_enthalpy_0k_mev_per_atom": 96
}


No. 15
{
  "formula": "SrLi4Cd5",
  "functional": "PBE",
  "state": "relaxed",
  "cell": [[-1.027, -1.750, -2.889], [3.154, -1.578, -0.166], [-5.879, -12.782, 9.833]],
  "species": ["Sr", "Li", "Li", "Li", "Li", "Cd", "Cd", "Cd", "Cd", "Cd"],
  "frac_coords": [[0.000, 0.000, 0.000], [0.000, 0.000, 0.228], [0.000, 0.000, 0.410], [0.000, 0.000, 0.590], [0.000, 0.000, 0.772], [0.500, 0.500, 0.140], [0.500, 0.500, 0.318], [0.500, 0.500, 0.500], [0.500, 0.500, 0.682], [0.500, 0.500, 0.860]],
  "dos_ef_per_ev_cell": 3.07,
  "magnetic_moment_mub_per_fu": 0.00,
  "formation_enthalpy_0k_mev_per_atom": -243
}


No. 16
{
  "formula": "Y4TlZn2",
  "functional": "PBE",
  "state": "relaxed",
  "cell": [[4.868, 0.000, 1.521], [2.196, 4.344, 1.521], [-0.065, -0.040, 8.759]],
  "species": ["Y", "Y", "Y", "Y", "Tl", "Zn", "Zn"],
  "frac_coords": [[0.868, 0.868, 0.396], [0.132, 0.132, 0.604], [0.615, 0.615, 0.156], [0.385, 0.385, 0.844], [0.000, 0.000, 0.000], [0.749, 0.749, 0.754], [0.251, 0.251, 0.246]],
  "dos_ef_per_ev_cell": 8.55,
  "magnetic_moment_mub_per_fu": 0.01,
  "formation_enthalpy_0k_mev_per_atom": -201
}


No. 17
{
  "formula": "GaGe2",
  "functional": "PBE",
  "state": "relaxed",
  "cell": [[-4.632, -3.094, 0.195], [0.294, -5.367, 1.473], [-2.040, -1.657, 4.915]],
  "species": ["Ge", "Ge", "Ge", "Ge", "Ga", "Ga"],
  "frac_coords": [[0.125, 0.625, 0.625], [0.625, 0.125, 0.625], [0.625, 0.625, 0.625], [0.625, 0.625, 0.125], [0.000, 0.000, 0.000], [0.250, 0.250, 0.250]],
  "polymorph_energy_kj_per_mol_fu": 14.3,
  "dos_ef_per_ev_cell": 4.51,
  "magnetic_moment_mub_per_fu": 0.00,
  "formation_enthalpy_0k_mev_per_atom": 258
}


No. 18
{
  "formula": "PtAu3",
  "functional": "PBE",
  "state": "relaxed",
  "cell": [[5.243, 0.000, 0.000], [0.000, 5.243, 0.000], [0.000, 0.000, 5.243]],
  "species": ["Pt", "Pt", "Au", "Au", "Au", "Au", "Au", "Au"],
  "frac_coords": [[0.000, 0.000, 0.000], [0.500, 0.500, 0.500], [0.000, 0.250, 0.500], [0.000, 0.750, 0.500], [0.250, 0.500, 0.000], [0.500, 0.000, 0.250], [0.500, 0.000, 0.750], [0.750, 0.500, 0.000]],
  "dos_ef_per_ev_cell": 4.52,
  "magnetic_moment_mub_per_fu": 0.00,
  "formation_enthalpy_0k_mev_per_atom": 185
}


No. 19
{
  "formula": "In2BiSe2",
  "functional": "PBE",
  "state": "relaxed",
  "cell": [[8.159, 0.000, 0.000], [0.000, 8.159, 0.000], [0.000, 0.000, 4.285]],
  "species": ["Bi", "Bi", "Se", "Se", "Se", "Se", "In", "In", "In", "In"],
  "frac_coords": [[0.000, 0.000, 0.000], [0.500, 0.500, 0.000], [0.323, 0.823, 0.000], [0.823, 0.677, 0.000], [0.677, 0.177, 0.000], [0.177, 0.323, 0.000], [0.139, 0.639, 0.500], [0.639, 0.861, 0.500], [0.861, 0.361, 0.500], [0.361, 0.139, 0.500]],
  "polymorph_energy_kj_per_mol_fu": 0.0,
  "dos_ef_per_ev_cell": 6.12,
  "magnetic_moment_mub_per_fu": 0.00,
  "e_form_raw_ev_per_fu": -0.8
}


No. 20
{
  "formula": "BaNa2IrI",
  "functional": "PBE",
  "state": "relaxed",
  "cell": [[-2.884, 2.586, -3.779], [2.953, -3.692, -4.781], [-3.913, -3.710, 0.448]],
  "species": ["I", "Na", "Na", "Ir", "Ba"],
  "frac_coords": [[0.000, 0.000, 0.000], [0.000, 0.000, 0.500], [0.500, 0.000, 0.000], [0.500, 0.500, 0.500], [0.000, 0.500, 0.000]],
  "dos_ef_per_ev_cell": 2.65,
  "magnetic_moment_mub_per_fu": 0.09,
  "e_form_raw_ev_per_fu": 1.9
}